(1)
Below is a relaxed Tm4H2Pb3 crystal, with properties calculated at the PBE level.

abc: 11.538 4.198 8.578
angles: 90.00 107.28 90.00
Space group C2/m (No. 12)
One atom of each set of equivalent atoms:
Tm 0.124 0.000 0.424 [4 per cell]
Tm 0.204 0.500 0.142 [4 per cell]
H 0.198 0.500 0.395 [4 per cell]
Pb 0.000 0.000 0.000 [2 per cell]
Pb 0.095 0.500 0.720 [4 per cell]

DFT total energy ... -39.98 eV/f.u.
Calculated volume ... 198.3 Å³/f.u.



(2)
Below is a relaxed Tm12HPb6 crystal, with properties calculated at the PBE level.

abc: 11.7582 11.7582 13.6320
angles: 90.00 90.00 120.00
Space group R-3 (No. 148, hexagonal axes)
One atom of each set of equivalent atoms:
Tm 0.0305 0.1836 0.3870 [18 per cell]
Tm 0.0310 0.8461 0.8882 [18 per cell]
H 0.0000 0.0000 0.5000 [3 per cell]
Pb 0.0007 0.3838 0.2498 [18 per cell]

DFT total energy ... -84.49 eV/f.u.
Calculated volume ... 544.1 Å³/f.u.



(3)
Below is a relaxed Tm3HPb2 crystal, with properties calculated at the PBE level.

abc: 13.769 6.302 6.946
angles: 90.00 98.86 90.00
Space group C2/c (No. 15)
One atom of each set of equivalent atoms:
Tm 0.000 0.087 0.250 [4 per cell]
Tm 0.122 0.433 0.647 [8 per cell]
H 0.000 0.420 0.250 [4 per cell]
Pb 0.184 0.042 0.043 [8 per cell]

DFT total energy ... -26.00 eV/f.u.
Calculated volume ... 148.9 Å³/f.u.



(4)
Below is a relaxed Tm3HPb crystal, with properties calculated at the PBE level.

abc: 6.482 11.077 6.599
angles: 90.00 100.72 90.00
Space group Cc (No. 9)
One atom of each set of equivalent atoms:
Tm 0.000 0.029 0.000 [4 per cell]
Tm 0.029 0.464 0.161 [4 per cell]
Tm 0.244 0.264 0.810 [4 per cell]
H 0.200 0.441 0.920 [4 per cell]
Pb 0.252 0.208 0.322 [4 per cell]

DFT total energy ... -22.45 eV/f.u.
Calculated volume ... 116.4 Å³/f.u.